1.
Compound: UNiH4
Source: Alexandria via LeMat-Bulk
Functional: PBE
Structure: optimized geometry

Cell: 3.276 3.276 4.615 Å, 90.00 90.00 90.00°
Fractional positions:
U 0.000 0.000 0.000
Ni 0.500 0.500 0.500
H 0.000 0.500 0.500
H 0.500 0.000 0.500
H 0.500 0.500 0.160
H 0.500 0.500 0.840

Results
Its space group is P4/mmm, No. 123. The calculation puts the energy at -31.0 eV for the cell shown.

2.
Compound: TiBe4Pd5
Source: Alexandria via LeMat-Bulk
Functional: PBE
Structure: optimized geometry

Cell: 2.812 2.812 15.379 Å, 90.00 90.00 90.00°
Fractional positions:
Ti 0.000 0.000 0.000
Be 0.000 0.000 0.220
Be 0.000 0.000 0.407
Be 0.000 0.000 0.593
Be 0.000 0.000 0.780
Pd 0.500 0.500 0.129
Pd 0.500 0.500 0.316
Pd 0.500 0.500 0.500
Pd 0.500 0.500 0.684
Pd 0.500 0.500 0.871

Results
Its space group is P4/mmm, No. 123. The calculation puts the energy at -54.7 eV for the cell shown. As for the formation energy: -0.592 eV/atom.

3.
Compound: TiV4Pd
Source: Alexandria via LeMat-Bulk
Functional: PBE
Structure: optimized geometry

Cell: 4.970 4.970 4.970 Å, 60.00 60.00 60.00°
Fractional positions:
Ti 0.000 0.000 0.000
V 0.373 0.373 0.373
V 0.373 0.373 0.881
V 0.373 0.881 0.373
V 0.881 0.373 0.373
Pd 0.750 0.750 0.750

Results
Its space group is F-43m, No. 216. The calculation puts the energy at -49.6 eV for the cell shown. As for the formation energy: -0.009 eV/atom.

4.
Compound: Na3ReGe
Source: Alexandria via LeMat-Bulk
Functional: PBE
Structure: optimized geometry

Cell: 5.632 5.632 5.632 Å, 90.00 90.00 90.00°
Fractional positions:
Na 0.000 0.000 0.500
Na 0.000 0.500 0.000
Na 0.500 0.000 0.000
Re 0.000 0.000 0.000
Ge 0.500 0.500 0.500

Results
Its space group is Pm-3m, No. 221. The calculation puts the energy at -12.7 eV for the cell shown. As for the formation energy: 1.666 eV/atom.

5.
Compound: MnCo5Pt6
Source: Alexandria via LeMat-Bulk
Functional: PBE
Structure: optimized geometry

Cell: 4.614 5.424 6.589 Å, 90.00 91.63 90.00°
Fractional positions:
Mn 0.000 0.000 0.000
Co 0.000 0.500 0.000
Co 0.334 0.500 0.670
Co 0.342 0.000 0.661
Co 0.658 0.000 0.339
Co 0.666 0.500 0.330
Pt 0.166 0.251 0.335
Pt 0.166 0.749 0.335
Pt 0.500 0.252 0.000
Pt 0.500 0.748 0.000
Pt 0.834 0.251 0.665
Pt 0.834 0.749 0.665

Results
Its space group is P2/m, No. 10. The calculation puts the energy at -82.7 eV for the cell shown. As for the formation energy: -0.144 eV/atom.

6.
Compound: BaMgCdGa
Source: Alexandria via LeMat-Bulk
Functional: PBE
Structure: optimized geometry

Cell: 5.420 5.420 5.420 Å, 60.00 60.00 60.00°
Fractional positions:
Ba 0.000 0.000 0.000
Mg 0.500 0.500 0.500
Cd 0.250 0.250 0.250
Ga 0.750 0.750 0.750

Results
Its space group is F-43m, No. 216. The calculation puts the energy at -8.3 eV for the cell shown. As for the formation energy: -0.206 eV/atom.